[1]
AlReRu | Alexandria | PBE-GGA | relaxed; formation enthalpy at 0 K = -341 meV per atom; E_tot = -26.49 eV for the cell shown
1.0
-1.4445 1.4445 5.0577
1.4445 -1.4445 5.0577
1.4445 1.4445 -5.0577
Al Re Ru
1 1 1
Direct
0.0000 0.0000 0.0000
0.6729 0.6729 0.0000
0.3404 0.3404 0.0000

=====

[2]
Al2ReRu | Alexandria | PBE-GGA | relaxed; formation enthalpy at 0 K = -65 meV per atom; E_tot = -29.47 eV for the cell shown
1.0
0.0000 3.0673 3.0673
3.0673 0.0000 3.0673
3.0673 3.0673 0.0000
Al Re Ru
2 1 1
Direct
0.0000 0.0000 0.0000
0.2500 0.2500 0.2500
0.5000 0.5000 0.5000
0.7500 0.7500 0.7500

=====

[3]
Al2ReRu | Alexandria | PBE-GGA | relaxed; formation enthalpy at 0 K = -149 meV per atom; E_tot = -29.81 eV for the cell shown
1.0
-1.8778 1.8778 4.0743
1.8778 -1.8778 4.0743
1.8778 1.8778 -4.0743
Al Re Ru
2 1 1
Direct
0.0000 0.0000 0.0000
0.7500 0.2500 0.5000
0.2500 0.7500 0.5000
0.5000 0.5000 0.0000

=====

Number 1: volume 14.07 A^3/atom. Number 2: volume 14.43 A^3/atom. Number 3: volume 14.37 A^3/atom.